The following is a DFT calculation (PBE with a Hubbard U) of an optimized crystal structure of P2WSeO.

Structure (CIF):
```
data_P2WSeO
_chemical_formula_sum 'P2 W1 Se1 O1'
_symmetry_space_group_name_H-M 'P 4/m m m'
_symmetry_Int_Tables_number 123
_symmetry_space_group_name_Hall '-P 4 2'
_cell_length_a 4.7547
_cell_length_b 4.7547
_cell_length_c 3.7059
_cell_angle_alpha 90.00
_cell_angle_beta 90.00
_cell_angle_gamma 90.00
loop_
_atom_site_label
_atom_site_fract_x
_atom_site_fract_y
_atom_site_fract_z
P1 0.0000 0.5000 0.0000
W1 0.0000 0.0000 0.5000
Se1 0.5000 0.5000 0.0000
O1 0.5000 0.5000 0.5000
```

Results
N(E_F) (states/eV/f.u.): 2.34
Electronic total energy (eV/atom): -4.565